(1)
A plane-wave DFT calculation with PBE was carried out for a relaxed Tl3Au2Se4 crystal.

Calculated values
For the raw total energy, the calculation gives -3.197 eV per atom. For the total magnetization, the calculation gives 0.000 μB per cell. The raw formation energy is -132 meV per atom. The calculated density comes out at 8.821 g/cm³.

Cell lengths 6.9705, 8.6729, 8.6729 Å; angles 75.77, 80.97, 80.97 degrees
Closest atoms and distances in Å follow each position.
Fractional positions:
Tl: 0.9123 0.9965 0.2542  4 Se 3.10-3.33, 2 Au 3.12-3.23
Tl: 0.5877 0.7458 0.0035  4 Se 3.10-3.33, 2 Au 3.12-3.23
Tl: 0.0877 0.0035 0.7458  4 Se 3.10-3.33, 2 Au 3.12-3.23
Tl: 0.4123 0.2542 0.9965  4 Se 3.10-3.33, 2 Au 3.12-3.23
Tl: 0.2500 0.6007 0.3993  6 Se 2.90-2.99
Tl: 0.7500 0.3993 0.6007  6 Se 2.90-2.99
Au: 0.4913 0.1443 0.3676  3 Se 2.52-2.79
Au: 0.0087 0.6324 0.8557  3 Se 2.52-2.79
Au: 0.5087 0.8557 0.6324  3 Se 2.52-2.79
Au: 0.9913 0.3676 0.1443  3 Se 2.52-2.79
Se: 0.3887 0.9218 0.2685  1 Au 2.53
Se: 0.1113 0.7315 0.0782  1 Au 2.53
Se: 0.6113 0.0782 0.7315  1 Au 2.53
Se: 0.8887 0.2685 0.9218  1 Au 2.53
Se: 0.1114 0.2974 0.4155  2 Au 2.52-2.79
Se: 0.3886 0.5845 0.7026  2 Au 2.52-2.79
Se: 0.8886 0.7026 0.5845  2 Au 2.52-2.79
Se: 0.6114 0.4155 0.2974  2 Au 2.52-2.79

(2)
A plane-wave DFT calculation with PBE was carried out for a relaxed TlAu3Se crystal.

Calculated values
For the raw total energy, the calculation gives -2.196 eV per atom. For the total magnetization, the calculation gives 0.122 μB per cell. The raw formation energy is 941 meV per atom. The relative energy among the computed polymorphs is 686 meV/atom. The calculated density comes out at 9.947 g/cm³.

Cell lengths 5.2650, 5.2650, 5.2650 Å; angles 90.00, 90.00, 90.00 degrees
Closest atoms and distances in Å follow each position.
Fractional positions:
Tl: 0.0000 0.0000 0.0000  6 Au 2.63
Au: 0.0000 0.5000 0.0000  2 Tl 2.63
Au: 0.0000 0.0000 0.5000  2 Tl 2.63
Au: 0.5000 0.0000 0.0000  2 Tl 2.63
Se: 0.5000 0.5000 0.5000  12 Au 3.72

(3)
A plane-wave DFT calculation with PBE was carried out for a relaxed Tl2AuSe crystal.

Calculated values
For the raw total energy, the calculation gives -3.016 eV per atom. For the total magnetization, the calculation gives 0.000 μB per cell. The raw formation energy is -143 meV per atom. The relative energy among the computed polymorphs is 0 meV/atom. The calculated density comes out at 10.344 g/cm³.

Cell lengths 4.2084, 4.2084, 7.4382 Å; angles 74.21, 74.21, 61.61 degrees
Closest atoms and distances in Å follow each position.
Fractional positions:
Au: 0.2500 0.2500 0.2500  6 Tl 2.95-3.03
Se: 0.7500 0.7500 0.7500  6 Tl 3.00-3.05
Tl: 0.9997 0.9997 0.0041  3 Au 2.95-3.03, 3 Se 3.00-3.05
Tl: 0.5003 0.5003 0.4959  3 Au 2.95-3.03, 3 Se 3.00-3.05

(4)
A plane-wave DFT calculation with PBE was carried out for a relaxed Tl2AuSe crystal.

Calculated values
For the raw total energy, the calculation gives -2.886 eV per atom. For the total magnetization, the calculation gives 0.000 μB per cell. The raw formation energy is -13 meV per atom. The relative energy among the computed polymorphs is 130 meV/atom. The calculated density comes out at 10.882 g/cm³.

Cell lengths 5.2866, 5.2866, 5.2866 Å; angles 60.00, 60.00, 60.00 degrees
Closest atoms and distances in Å follow each position.
Fractional positions:
Tl: 0.2500 0.2500 0.2500  4 Au 3.24, 4 Se 3.24
Tl: 0.7500 0.7500 0.7500  4 Au 3.24, 4 Se 3.24
Au: 0.5000 0.5000 0.5000  8 Tl 3.24
Se: 0.0000 0.0000 0.0000  8 Tl 3.24